Below is crystalline La7Sm4Dy at its relaxed geometry, with properties calculated at the PBE level.

The structure in extended XYZ format:
```
12
Lattice="-1.4849 -1.1431 -5.8500 3.5548 -8.9591 -2.3768 -5.5332 -6.8856 -0.4752" Properties=species:S:1:pos:R:3 pbc="T T T"
La -1.0303 -12.4430 -6.9826
La -2.4331 -4.5448 -1.7195
La 0.3903 -7.0175 -1.9530
La -3.8536 -9.9703 -6.7491
La -1.9867 -12.7654 -3.4516
La -0.7425 -0.5716 -2.9250
La -1.4767 -4.2224 -5.2504
Sm -2.8421 -7.1620 -4.3294
Sm -0.6212 -9.8258 -4.3726
Sm 0.8911 -6.5380 -5.3990
Sm -4.3545 -10.4497 -3.3031
Dy 0.0000 0.0000 0.0000
```

M_tot: 0.48 μB/f.u.
excess energy over the best structure of this formula in the dataset: 0.184 eV per atom
energy of formation from the pure elements: 0.202 eV per atom
energy: -55.6 eV for the cell shown
density of states at the Fermi level: 20.34 states/eV/cell

Below is crystalline KTiAs3 at its relaxed geometry, with properties calculated at the PBE level.

The structure in extended XYZ format:
```
5
Lattice="-2.1743 4.6946 0.1513 -3.2408 -1.6201 3.6961 3.3998 1.4580 3.6201" Properties=species:S:1:pos:R:3 pbc="T T T"
As -1.6204 -0.8101 1.8481
As 1.6999 0.7290 1.8100
As -1.0871 2.3473 0.0756
K 0.0000 0.0000 0.0000
Ti -1.0077 2.2662 3.7337
```

M_tot: 0.04 μB/f.u.
excess energy over the best structure of this formula in the dataset: 1.962 eV per atom
energy of formation from the pure elements: 1.673 eV per atom
energy: -14.6 eV for the cell shown
density of states at the Fermi level: 6.64 states/eV/cell

Below is crystalline Pm4GeTe2I at its relaxed geometry, with properties calculated at the PBE level.

The structure in extended XYZ format:
```
8
Lattice="-3.5757 -2.4454 0.7050 3.3981 -3.2324 6.0234 -1.6340 4.2296 6.3834" Properties=species:S:1:pos:R:3 pbc="T T T"
Pm 1.3631 0.6246 9.0804
Pm -3.1746 -2.0727 4.0315
Pm 0.2211 -2.3783 6.5332
Pm -2.0326 0.9302 6.5787
Ge 0.8820 0.4986 6.2034
Te -1.6340 4.2296 6.3834
Te -2.6048 0.8921 3.5442
I -0.0888 -2.8389 3.3642
```

M_tot: 0.00 μB/f.u.
energy: -41.0 eV for the cell shown
density of states at the Fermi level: 3.94 states/eV/cell

Copy entry 1 word for word.
Below is crystalline La7Sm4Dy at its relaxed geometry, with properties calculated at the PBE level.

The structure in extended XYZ format:
```
12
Lattice="-1.4849 -1.1431 -5.8500 3.5548 -8.9591 -2.3768 -5.5332 -6.8856 -0.4752" Properties=species:S:1:pos:R:3 pbc="T T T"
La -1.0303 -12.4430 -6.9826
La -2.4331 -4.5448 -1.7195
La 0.3903 -7.0175 -1.9530
La -3.8536 -9.9703 -6.7491
La -1.9867 -12.7654 -3.4516
La -0.7425 -0.5716 -2.9250
La -1.4767 -4.2224 -5.2504
Sm -2.8421 -7.1620 -4.3294
Sm -0.6212 -9.8258 -4.3726
Sm 0.8911 -6.5380 -5.3990
Sm -4.3545 -10.4497 -3.3031
Dy 0.0000 0.0000 0.0000
```

M_tot: 0.48 μB/f.u.
excess energy over the best structure of this formula in the dataset: 0.184 eV per atom
energy of formation from the pure elements: 0.202 eV per atom
energy: -55.6 eV for the cell shown
density of states at the Fermi level: 20.34 states/eV/cell

Which of these has the lowest density of states at the Fermi level?
Pm4GeTe2I

Among the records above, which one has the highest density of states at the Fermi level?
La7Sm4Dy